ZrScPb2 after structural relaxation. Source: Alexandria via LeMat-Bulk, functional PBEsol.

Calculated values
- Total magnetization: 0.00 μB per cell
- D(E_F): 2.3 states/eV/cell
- Formation enthalpy at 0 K: -128 kJ/mol of formula units
- Energy above the lowest structure with this stoichiometry: 0 meV per atom

a = 5.907 Å, b = 5.907 Å, c = 5.907 Å
α = 137.64°, β = 137.64°, γ = 61.46°
Element x y z (fractional)
Zr (0.000, 0.000, 0.000)
Sc (0.750, 0.250, 0.500)
Pb (0.250, 0.750, 0.500)
Pb (0.500, 0.500, 0.000)


YSc2Tl after structural relaxation. Source: Alexandria via LeMat-Bulk, functional PBEsol.

Calculated values
- Total magnetization: 0.01 μB per cell
- D(E_F): 5.7 states/eV/cell
- Formation enthalpy at 0 K: -77 kJ/mol of formula units
- Energy above the lowest structure with this stoichiometry: 40 meV per atom

a = 3.466 Å, b = 4.423 Å, c = 6.386 Å
α = 90.00°, β = 90.00°, γ = 90.00°
Element x y z (fractional)
Y (0.000, 0.000, 0.000)
Sc (0.000, 0.000, 0.499)
Sc (0.500, 0.500, 0.267)
Tl (0.500, 0.500, 0.743)


Al7Ag after structural relaxation. Source: Alexandria via LeMat-Bulk, functional PBEsol.

Calculated values
- Total magnetization: 0.00 μB per cell
- D(E_F): 3.1 states/eV/cell
- Formation enthalpy at 0 K: 2 kJ/mol of formula units
- Energy above the lowest structure with this stoichiometry: 22 meV per atom

a = 6.968 Å, b = 6.349 Å, c = 4.937 Å
α = 75.08°, β = 61.71°, γ = 43.21°
Element x y z (fractional)
Al (0.000, 0.000, 0.000)
Al (0.126, 0.126, 0.374)
Al (0.249, 0.249, 0.751)
Al (0.374, 0.374, 0.126)
Al (0.626, 0.626, 0.874)
Al (0.751, 0.751, 0.249)
Al (0.874, 0.874, 0.626)
Ag (0.500, 0.500, 0.500)


TiAgP2C after structural relaxation. Source: Alexandria via LeMat-Bulk, functional PBEsol.

Calculated values
- Total magnetization: 0.00 μB per cell
- D(E_F): 2.3 states/eV/cell
- Formation enthalpy at 0 K: 226 kJ/mol of formula units

a = 4.141 Å, b = 4.141 Å, c = 3.985 Å
α = 90.00°, β = 90.00°, γ = 90.00°
Element x y z (fractional)
Ti (0.000, 0.000, 0.000)
Ag (0.500, 0.500, 0.000)
P (0.000, 0.500, 0.500)
P (0.500, 0.000, 0.500)
C (0.000, 0.000, 0.500)


Al2Tc2H after structural relaxation. Source: Alexandria via LeMat-Bulk, functional PBEsol.

Calculated values
- Total magnetization: 0.00 μB per cell
- Total energy: -6.808 eV/atom
- D(E_F): 7.8 states/eV/cell

a = 5.450 Å, b = 5.450 Å, c = 4.251 Å
α = 90.00°, β = 90.00°, γ = 90.00°
Element x y z (fractional)
Al (0.163, 0.337, 0.000)
Al (0.337, 0.837, 0.000)
Al (0.663, 0.163, 0.000)
Al (0.837, 0.663, 0.000)
Tc (0.165, 0.665, 0.500)
Tc (0.335, 0.165, 0.500)
Tc (0.665, 0.835, 0.500)
Tc (0.835, 0.335, 0.500)
H (0.000, 0.000, 0.500)
H (0.500, 0.500, 0.500)


La2RuSe after structural relaxation. Source: Alexandria via LeMat-Bulk, functional PBEsol.

Calculated values
- Total magnetization: 0.00 μB per cell
- Uncorrected formation energy: -888 meV per atom
- D(E_F): 1.9 states/eV/cell

a = 7.469 Å, b = 7.469 Å, c = 7.469 Å
α = 32.32°, β = 32.32°, γ = 32.32°
Element x y z (fractional)
La (0.241, 0.241, 0.241)
La (0.759, 0.759, 0.759)
Ru (0.500, 0.500, 0.500)
Se (0.000, 0.000, 0.000)